Record 1
DFT (PBE-GGA) results for a relaxed structure of CaSnBi2.

The structure belongs to space group P4/mmm (No. 123); the cell edges are 4.958, 4.958 and 4.891 Å and the angles 90.00°, 90.00° and 90.00°. The inequivalent atoms are Ca at (0.000, 0.000, 0.000), Sn at (0.500, 0.500, 0.000) and Bi at (0.000, 0.500, 0.500).

The value obtained for the energy relative to the elements is -370 meV/atom. The total magnetic moment is 0.0 μB/f.u. The uncorrected energy is -3.8118 eV per atom.

***

Record 2
DFT (PBE-GGA) results for a relaxed structure of CaSnBi.

The structure belongs to space group Cmcm (No. 63); the cell edges are 4.667, 16.879 and 4.509 Å and the angles 90.00°, 90.00° and 90.00°. The inequivalent atoms are Ca at (0.000, 0.095, 0.250), Sn at (0.000, 0.257, 0.750) and Bi at (0.000, 0.427, 0.250).

The polymorph energy (0 for the lowest one) is 0.00 eV per formula unit. The value obtained for the energy relative to the elements is -481 meV/atom. The total magnetic moment is 0.0 μB/f.u. The uncorrected energy is -3.7761 eV per atom.

***

Record 3
DFT (PBE-GGA) results for a relaxed structure of Ca4Sn2Bi.

The structure belongs to space group I4/mmm (No. 139); the cell edges are 6.007, 6.007 and 15.124 Å and the angles 90.00°, 90.00° and 90.00°. The inequivalent atoms are Ca at (0.000, 0.000, 0.199), Ca at (0.000, 0.500, 0.000), Sn at (0.000, 0.000, 0.399) and Bi at (0.000, 0.000, 0.000).

The value obtained for the energy relative to the elements is -329 meV/atom. The total magnetic moment is 0.0 μB/f.u. The uncorrected energy is -3.1707 eV per atom.

***

Record 4
DFT (PBE-GGA) results for a relaxed structure of SrCaSnBi.

The structure belongs to space group F-43m (No. 216); the cell edges are 8.056, 8.056 and 8.056 Å and the angles 90.00°, 90.00° and 90.00°. The inequivalent atoms are Sr at (0.000, 0.000, 0.000), Ca at (0.000, 0.000, 0.500), Sn at (0.250, 0.250, 0.750) and Bi at (0.250, 0.250, 0.250).

The value obtained for the energy relative to the elements is -604 meV/atom. The total magnetic moment is 0.0 μB/f.u. The uncorrected energy is -3.4961 eV per atom.

***

Record 5
DFT (PBE-GGA) results for a relaxed structure of CaTc2SnBi.

The structure belongs to space group P4/mmm (No. 123); the cell edges are 5.032, 5.032 and 5.653 Å and the angles 90.00°, 90.00° and 90.00°. The inequivalent atoms are Ca at (0.000, 0.000, 0.000), Tc at (0.000, 0.500, 0.000), Sn at (0.500, 0.500, 0.500) and Bi at (0.000, 0.000, 0.500).

The value obtained for the energy relative to the elements is 1860 meV/atom. The total magnetic moment is 5.9 μB/f.u. The uncorrected energy is -4.2637 eV per atom.

***

Record 6
DFT (PBE-GGA) results for a relaxed structure of CaTlSnBi.

The structure belongs to space group Pmmm (No. 47); the cell edges are 4.699, 4.959 and 5.070 Å and the angles 90.00°, 90.00° and 90.00°. The inequivalent atoms are Ca at (0.000, 0.000, 0.000), Tl at (0.500, 0.000, 0.500), Sn at (0.000, 0.500, 0.500) and Bi at (0.500, 0.500, 0.000).

The polymorph energy (0 for the lowest one) is 0.00 eV per formula unit. The value obtained for the energy relative to the elements is -367 meV/atom. The total magnetic moment is 0.0 μB/f.u. The uncorrected energy is -3.4304 eV per atom.

***

Record 7
DFT (PBE-GGA) results for a relaxed structure of CaTl2SnBi2.

The structure belongs to space group Pmc2_1 (No. 26); the cell edges are 5.412, 10.011 and 7.172 Å and the angles 90.00°, 90.00° and 90.00°. The inequivalent atoms are Ca at (0.000, 0.018, 0.000), Tl at (0.000, 0.348, 0.262), Tl at (0.500, 0.480, 0.005), Sn at (0.500, 0.167, 0.700), Bi at (0.000, 0.310, 0.762) and Bi at (0.500, 0.140, 0.263).

The value obtained for the energy relative to the elements is -238 meV/atom. The total magnetic moment is 0.0 μB/f.u. The uncorrected energy is -3.3209 eV per atom.

***

Record 8
DFT (PBE-GGA) results for a relaxed structure of CaTlSnBi.

The structure belongs to space group F-43m (No. 216); the cell edges are 7.869, 7.869 and 7.869 Å and the angles 90.00°, 90.00° and 90.00°. The inequivalent atoms are Ca at (0.000, 0.000, 0.000), Tl at (0.250, 0.250, 0.250), Sn at (0.000, 0.000, 0.500) and Bi at (0.250, 0.250, 0.750).

The polymorph energy (0 for the lowest one) is 0.55 eV per formula unit. The value obtained for the energy relative to the elements is -231 meV/atom. The total magnetic moment is 0.0 μB/f.u. The uncorrected energy is -3.2937 eV per atom.